CaAc6Te8 | PBE | optimized geometry

Cell lengths 9.4297, 9.4297, 9.4297 Å; angles 60.00, 60.00, 60.00 degrees
Closest atoms and distances in Å follow each position.
Element x y z (fractional)
Ac 0.5000 0.5000 0.0000  6 Te 3.33
Ac 0.0000 0.5000 0.0000  6 Te 3.33
Ac 0.0000 0.0000 0.5000  6 Te 3.33
Ac 0.0000 0.5000 0.5000  6 Te 3.33
Ac 0.5000 0.0000 0.0000  6 Te 3.33
Ac 0.5000 0.0000 0.5000  6 Te 3.33
Te 0.2439 0.7561 0.7561  1 Ca 3.25, 4 Ac 3.33
Te 0.7561 0.2439 0.7561  1 Ca 3.25, 4 Ac 3.33
Te 0.2439 0.7561 0.2439  1 Ca 3.25, 4 Ac 3.33
Te 0.7561 0.2439 0.2439  1 Ca 3.25, 4 Ac 3.33
Te 0.7561 0.7561 0.2439  1 Ca 3.25, 4 Ac 3.33
Te 0.2500 0.2500 0.2500  6 Ac 3.33
Te 0.2439 0.2439 0.7561  1 Ca 3.25, 4 Ac 3.33
Te 0.7500 0.7500 0.7500  6 Ac 3.33
Ca 0.0000 0.0000 0.0000  6 Te 3.25

Summary:
Formation energy (no corrections) ... -149.40 kJ/mol of atoms
Space group ... Fm-3m